1.
{"formula": "CaMn4Ag4O16", "functional": "GGA+U", "state": "optimized geometry", "lattice_angstrom": [[5.716, 0.031, 0.513], [-0.959, 7.489, -0.138], [-0.785, -0.496, 8.549]], "species": ["Ca", "Mn", "Mn", "Mn", "Mn", "Ag", "Ag", "Ag", "Ag", "O", "O", "O", "O", "O", "O", "O", "O", "O", "O", "O", "O", "O", "O", "O", "O"], "frac_coords": [[0.778, 0.851, 0.014], [0.252, 0.894, 0.292], [0.787, 0.366, 0.190], [0.253, 0.658, 0.787], [0.812, 0.149, 0.687], [0.378, 0.495, 0.134], [0.310, 0.332, 0.494], [0.765, 0.677, 0.528], [0.331, 0.133, 0.943], [0.129, 0.977, 0.143], [0.487, 0.808, 0.231], [0.777, 0.981, 0.559], [0.758, 0.541, 0.071], [0.243, 0.483, 0.898], [0.557, 0.210, 0.734], [0.322, 0.049, 0.429], [0.970, 0.318, 0.614], [0.428, 0.830, 0.878], [0.947, 0.091, 0.843], [0.666, 0.167, 0.107], [0.983, 0.717, 0.773], [0.073, 0.370, 0.244], [0.384, 0.608, 0.619], [0.067, 0.738, 0.359], [0.624, 0.436, 0.351]], "crystal_system": "triclinic", "spacegroup": "No. 1", "rho_g_cm3": 4.26, "final_energy_ev_per_atom": -5.58, "magmom_total_mub_per_fu": 1.977, "n_ef_per_ev_atom": 0.103}

=====

2.
{"formula": "CaMn4Ag4O16", "functional": "GGA+U", "state": "optimized geometry", "lattice_angstrom": [[-4.036, -3.668, 1.367], [6.379, -5.417, -1.072], [1.250, 1.550, 8.334]], "species": ["Ca", "Mn", "Mn", "Mn", "Mn", "Ag", "Ag", "Ag", "Ag", "O", "O", "O", "O", "O", "O", "O", "O", "O", "O", "O", "O", "O", "O", "O", "O"], "frac_coords": [[0.310, 0.546, 0.197], [0.230, 0.898, 0.291], [0.718, 0.345, 0.203], [0.260, 0.654, 0.788], [0.782, 0.112, 0.707], [0.720, 0.908, 0.045], [0.320, 0.297, 0.527], [0.760, 0.683, 0.508], [0.293, 0.100, 0.959], [0.091, 0.955, 0.136], [0.483, 0.813, 0.226], [0.738, 0.954, 0.577], [0.668, 0.457, 0.068], [0.223, 0.538, 0.927], [0.524, 0.174, 0.759], [0.272, 0.034, 0.448], [0.957, 0.259, 0.639], [0.424, 0.826, 0.857], [0.913, 0.066, 0.865], [0.568, 0.156, 0.155], [0.001, 0.687, 0.729], [0.008, 0.338, 0.233], [0.405, 0.569, 0.638], [0.061, 0.720, 0.334], [0.575, 0.430, 0.365]], "crystal_system": "triclinic", "spacegroup": "No. 1", "rho_g_cm3": 3.95, "final_energy_ev_per_atom": -5.58, "magmom_total_mub_per_fu": 1.979, "n_ef_per_ev_atom": 0.124}